A relaxed structure of Re5Ni. Source: Alexandria, functional PBE.

a b c (Å): 6.048 6.048 3.892
angles (deg): 90.00 90.00 142.60
Fractional positions:
1 Re 0.000 0.000 0.000
2 Re 0.164 0.836 0.500
3 Re 0.337 0.663 0.000
4 Re 0.663 0.337 0.000
5 Re 0.836 0.164 0.500
6 Ni 0.500 0.500 0.500

Output
Density of states at the Fermi level = 6.50 states/eV/f.u.
Offset from the most stable computed form = 83 meV per atom
Symmetry = Cmmm (65)
V = 14.413 A^3/atom
Calculated density = 19.004 g/cm³
Energy of formation from the pure elements = 62 meV per atom
Total DFT energy (no corrections) = -11.2753 eV per atom